Below is an optimized crystal structure of MgZnCuGe, with properties calculated at the GGA-PBE level.

POSCAR file:
```
MgZnCuGe
1.0
0.000 3.180 3.180
3.180 0.000 3.180
3.180 3.180 0.000
Mg Zn Cu Ge
1 1 1 1
direct
0.000 0.000 0.000 Mg
0.750 0.750 0.750 Zn
0.500 0.500 0.500 Cu
0.250 0.250 0.250 Ge
```

**Total energy**: -10.93 eV per cell
**Volume**: 64.3 Å³ per cell
**Density**: 5.83 g/cm³


Below is an optimized crystal structure of MgZnCu4Ge2, with properties calculated at the GGA-PBE level.

POSCAR file:
```
MgZnCu4Ge2
1.0
4.294 0.000 0.000
0.000 4.294 0.000
0.000 0.000 6.194
Mg Zn Cu Ge
1 1 4 2
direct
0.000 0.000 0.000 Mg
0.500 0.500 0.500 Zn
0.000 0.500 0.264 Cu
0.000 0.500 0.736 Cu
0.500 0.000 0.264 Cu
0.500 0.000 0.736 Cu
0.000 0.000 0.500 Ge
0.500 0.500 0.000 Ge
```

**Total energy**: -26.73 eV per cell
**Volume**: 114.2 Å³ per cell
**Density**: 7.11 g/cm³


Below is an optimized crystal structure of MgZnCuGe, with properties calculated at the GGA-PBE level.

POSCAR file:
```
MgZnCuGe
1.0
0.000 3.186 3.186
3.186 0.000 3.186
3.186 3.186 0.000
Mg Zn Cu Ge
1 1 1 1
direct
0.000 0.000 0.000 Mg
0.500 0.500 0.500 Zn
0.750 0.750 0.750 Cu
0.250 0.250 0.250 Ge
```

**Total energy**: -10.93 eV per cell
**Volume**: 64.7 Å³ per cell
**Density**: 5.80 g/cm³


Below is an optimized crystal structure of CuGe2Mo, with properties calculated at the GGA-PBE level.

POSCAR file:
```
CuGe2Mo
1.0
0.000 3.149 3.149
3.149 0.000 3.149
3.149 3.149 0.000
Cu Ge Mo
1 2 1
direct
0.000 0.000 0.000 Cu
0.500 0.500 0.500 Ge
0.750 0.750 0.750 Ge
0.250 0.250 0.250 Mo
```

**Total energy**: -21.68 eV per cell
**Volume**: 62.5 Å³ per cell
**Density**: 8.10 g/cm³